Record 1
{
  "formula": "YEr4Sc15",
  "functional": "PBE",
  "state": "optimized geometry",
  "dos_ef_per_ev_fu": 38.9,
  "m_tot_mub_per_cell": 0.0,
  "final_energy_ev_per_fu": -118.5,
  "crystal_system": "tetragonal",
  "lattice": [[-0.986, -2.318, -3.968], [-2.887, -2.846, 2.379], [-17.905, 14.703, -4.140]],
  "species": ["Y", "Er", "Er", "Er", "Er", "Sc", "Sc", "Sc", "Sc", "Sc", "Sc", "Sc", "Sc", "Sc", "Sc", "Sc", "Sc", "Sc", "Sc", "Sc"],
  "fractional_positions": [[0.000, 0.000, 0.000], [0.000, 0.000, 0.201], [0.000, 0.000, 0.400], [0.000, 0.000, 0.600], [0.000, 0.000, 0.799], [0.500, 0.500, 0.000], [0.500, 0.500, 0.201], [0.500, 0.500, 0.400], [0.500, 0.500, 0.600], [0.500, 0.500, 0.799], [0.500, 0.000, 0.101], [0.500, 0.000, 0.301], [0.500, 0.000, 0.500], [0.500, 0.000, 0.699], [0.500, 0.000, 0.899], [0.000, 0.500, 0.101], [0.000, 0.500, 0.301], [0.000, 0.500, 0.500], [0.000, 0.500, 0.699], [0.000, 0.500, 0.899]]
}

Record 2
{
  "formula": "Y8Er4Sc",
  "functional": "PBE",
  "state": "optimized geometry",
  "dos_ef_per_ev_fu": 20.0,
  "m_tot_mub_per_cell": 0.0,
  "final_energy_ev_per_fu": -73.7,
  "crystal_system": "trigonal",
  "lattice": [[-3.731, -2.763, -5.552], [6.079, 3.733, -1.225], [5.271, -7.047, 4.683]],
  "species": ["Y", "Y", "Y", "Y", "Y", "Y", "Y", "Y", "Er", "Er", "Er", "Er", "Sc"],
  "fractional_positions": [[0.568, 0.784, 0.352], [0.432, 0.216, 0.648], [0.508, 0.254, 0.305], [0.949, 0.203, 0.695], [0.492, 0.746, 0.695], [0.949, 0.746, 0.695], [0.051, 0.254, 0.305], [0.051, 0.797, 0.305], [0.000, 0.000, 0.000], [0.000, 0.500, 0.000], [0.500, 0.500, 0.000], [0.500, 0.000, 0.000], [0.000, 0.500, 0.500]]
}

Record 3
{
  "formula": "Y3Er3Sc5",
  "functional": "PBE",
  "state": "optimized geometry",
  "dos_ef_per_ev_fu": 17.0,
  "m_tot_mub_per_cell": 0.0,
  "final_energy_ev_per_fu": -55.8,
  "crystal_system": "hexagonal",
  "lattice": [[-1.448, -3.862, -3.572], [7.626, 1.324, -4.523], [-0.290, -6.025, 6.632]],
  "species": ["Y", "Y", "Y", "Er", "Er", "Er", "Sc", "Sc", "Sc", "Sc", "Sc"],
  "fractional_positions": [[0.000, 0.392, 0.392], [0.000, 0.608, 0.000], [0.000, 0.000, 0.608], [0.500, 0.619, 0.619], [0.500, 0.000, 0.381], [0.500, 0.381, 0.000], [0.500, 0.333, 0.667], [0.500, 0.667, 0.333], [0.500, 0.244, 0.244], [0.500, 0.000, 0.756], [0.500, 0.756, 0.000]]
}

Record 4
{
  "formula": "Y4Er3Sc3",
  "functional": "PBE",
  "state": "optimized geometry",
  "dos_ef_per_ev_fu": 7.9,
  "m_tot_mub_per_cell": 0.0,
  "final_energy_ev_per_fu": -57.5,
  "crystal_system": "orthorhombic",
  "lattice": [[3.626, 0.000, 0.000], [0.000, 9.030, -0.076], [0.000, 0.004, 9.030]],
  "species": ["Y", "Y", "Y", "Y", "Er", "Er", "Er", "Sc", "Sc", "Sc"],
  "fractional_positions": [[0.000, 0.631, 0.369], [0.000, 0.376, 0.624], [0.000, 0.864, 0.873], [0.000, 0.127, 0.136], [0.000, 0.501, 0.001], [0.000, 0.999, 0.499], [0.500, 0.170, 0.830], [0.500, 0.830, 0.170], [0.500, 0.333, 0.330], [0.500, 0.670, 0.667]]
}

Record 5
{
  "formula": "YEr4Sc3",
  "functional": "PBE",
  "state": "optimized geometry",
  "dos_ef_per_ev_fu": 15.1,
  "m_tot_mub_per_cell": 0.0,
  "relative_energy_mev_per_atom": 0.0,
  "crystal_system": "orthorhombic",
  "lattice": [[-3.842, -3.474, 3.118], [-2.352, -2.757, -5.972], [7.538, -7.779, 0.623]],
  "species": ["Y", "Y", "Er", "Er", "Er", "Er", "Er", "Er", "Er", "Er", "Sc", "Sc", "Sc", "Sc", "Sc", "Sc"],
  "fractional_positions": [[0.151, 0.381, 0.000], [0.651, 0.619, 0.500], [0.140, 0.871, 0.000], [0.648, 0.130, 0.000], [0.982, 0.130, 0.255], [0.482, 0.870, 0.245], [0.148, 0.870, 0.500], [0.640, 0.129, 0.500], [0.482, 0.870, 0.755], [0.982, 0.130, 0.745], [0.651, 0.621, 0.000], [0.981, 0.621, 0.251], [0.481, 0.379, 0.249], [0.151, 0.379, 0.500], [0.481, 0.379, 0.751], [0.981, 0.621, 0.749]]
}

Record 6
{
  "formula": "Y4Er3Sc",
  "functional": "PBE",
  "state": "optimized geometry",
  "dos_ef_per_ev_fu": 14.6,
  "m_tot_mub_per_cell": 0.0,
  "relative_energy_mev_per_atom": 0.0,
  "crystal_system": "orthorhombic",
  "lattice": [[6.201, 0.000, 0.000], [0.000, 7.184, 0.000], [0.000, 0.000, 11.109]],
  "species": ["Y", "Y", "Y", "Y", "Y", "Y", "Y", "Y", "Er", "Er", "Er", "Er", "Er", "Er", "Sc", "Sc"],
  "fractional_positions": [[0.149, 0.871, 0.000], [0.643, 0.128, 0.000], [0.985, 0.129, 0.246], [0.485, 0.871, 0.254], [0.143, 0.872, 0.500], [0.649, 0.129, 0.500], [0.485, 0.871, 0.746], [0.985, 0.129, 0.754], [0.649, 0.621, 0.000], [0.978, 0.621, 0.250], [0.478, 0.379, 0.250], [0.149, 0.379, 0.500], [0.478, 0.379, 0.750], [0.978, 0.621, 0.750], [0.148, 0.378, 0.000], [0.648, 0.622, 0.500]]
}